ScTaBr4 | PBE | relaxed

Summary:
**Total magnetic moment**: 4.8 μB per cell
**Mass density**: 5.61 g/cm3
**E_form (uncorrected)**: 988 meV per atom
**Total energy**: -3.16 eV per atom

Cell: 6.111 6.111 6.111 Å, 60.00 60.00 60.00°
Element x y z (fractional)
Sc: 0.750 0.750 0.750
Ta: 0.000 0.000 0.000
Br: 0.875 0.375 0.375
Br: 0.375 0.375 0.875
Br: 0.375 0.875 0.375
Br: 0.375 0.375 0.375